Computed, not measured: TiSn2Pd8 after structural relaxation at the GGA-PBE level of DFT.

Geometry as POSCAR:
```
TiSn2Pd8
1.0
7.201 -2.058 0.000
7.201 2.058 0.000
-2.197 0.000 6.081
Ti Sn Pd
1 2 8
Cartesian
0.000 0.000 0.000
3.443 0.000 2.063
8.762 0.000 4.018
0.377 0.000 2.702
0.464 0.000 5.595
3.354 0.000 4.882
6.120 0.000 1.581
6.086 0.000 4.500
8.851 0.000 1.198
11.741 0.000 0.486
11.828 0.000 3.378
```

Results
Formation enthalpy at 0 K (kJ per mole of atoms): -47.7
Uncorrected energy (Ha/atom): -0.210

Computed, not measured: TiSn3Pd6 after structural relaxation at the GGA-PBE level of DFT.

Geometry as POSCAR:
```
TiSn3Pd6
1.0
9.086 0.000 0.000
0.000 3.902 0.000
-3.780 0.000 10.170
Ti Sn Pd
2 6 12
Cartesian
1.490 0.976 1.621
3.816 2.927 8.549
-0.885 0.976 3.150
-0.490 0.976 8.479
0.825 2.927 5.931
4.481 0.976 4.239
5.796 2.927 1.690
6.191 2.927 7.020
5.705 0.976 9.084
-0.399 2.927 1.086
-1.124 0.976 5.872
2.170 2.927 0.014
1.705 0.976 4.291
3.066 2.927 2.719
4.064 0.976 0.953
1.242 2.927 9.217
2.240 0.976 7.451
3.601 2.927 5.878
3.135 0.976 10.155
6.430 2.927 4.298
```

Results
Formation enthalpy at 0 K (kJ per mole of atoms): -46.1
Uncorrected energy (Ha/atom): -0.205

Computed, not measured: Ti2SnPd2 after structural relaxation at the GGA-PBE level of DFT.

Geometry as POSCAR:
```
Ti2SnPd2
1.0
3.949 0.000 0.000
0.000 4.151 0.000
-1.970 0.000 10.262
Ti Sn Pd
4 2 4
Cartesian
-0.002 1.038 0.947
0.002 1.038 5.134
1.978 3.113 5.128
1.981 3.113 9.315
0.003 3.113 3.000
1.976 1.038 7.262
0.003 3.113 7.177
0.005 1.038 9.325
1.975 3.113 0.937
1.977 1.038 3.085
```

Results
Formation enthalpy at 0 K (kJ per mole of atoms): -49.3
Uncorrected energy (Ha/atom): -0.241

Computed, not measured: TiSnPd after structural relaxation at the GGA-PBE level of DFT.

Geometry as POSCAR:
```
TiSnPd
1.0
4.540 0.000 0.000
-2.270 3.932 0.000
0.000 0.000 3.043
Ti Sn Pd
1 1 1
Cartesian
0.000 0.000 0.000
2.270 1.311 1.525
0.000 2.621 1.516
```

Results
Formation enthalpy at 0 K (kJ per mole of atoms): -44.5
Uncorrected energy (Ha/atom): -0.226

Computed, not measured: Ti8SnPd2 after structural relaxation at the GGA-PBE level of DFT.

Geometry as POSCAR:
```
Ti8SnPd2
1.0
3.641 -6.433 0.000
3.641 6.433 0.000
-1.669 0.000 4.184
Ti Sn Pd
8 1 2
Cartesian
0.469 1.378 2.596
3.641 3.610 0.000
0.469 -1.378 2.596
2.629 0.000 0.861
2.985 0.000 3.323
5.145 1.378 1.588
3.641 -3.610 0.000
5.145 -1.378 1.588
0.000 0.000 0.000
2.807 2.522 2.092
2.807 -2.522 2.092
```

Results
Formation enthalpy at 0 K (kJ per mole of atoms): -13.4
Uncorrected energy (Ha/atom): -0.264

Computed, not measured: TiSn2Pd after structural relaxation at the GGA-PBE level of DFT.

Geometry as POSCAR:
```
TiSn2Pd
1.0
2.157 1.245 5.341
-2.157 1.245 5.341
0.000 -2.490 5.341
Ti Sn Pd
1 2 1
Cartesian
0.000 0.000 0.000
0.000 0.000 9.327
0.000 0.000 12.399
0.000 0.000 2.958
```

Results
Formation enthalpy at 0 K (kJ per mole of atoms): -17.8
Uncorrected energy (Ha/atom): -0.201

Computed, not measured: Ti2SnPd7 after structural relaxation at the GGA-PBE level of DFT.

Geometry as POSCAR:
```
Ti2SnPd7
1.0
3.602 -6.395 0.000
3.602 6.395 0.000
0.000 0.000 4.329
Ti Sn Pd
2 1 7
Cartesian
3.602 3.889 0.000
3.602 -3.889 0.000
3.602 0.000 2.165
0.000 0.000 0.000
2.251 1.464 0.000
3.602 2.704 2.165
2.251 -1.464 0.000
4.953 1.464 0.000
3.602 -2.704 2.165
4.953 -1.464 0.000
```

Results
Formation enthalpy at 0 K (kJ per mole of atoms): -2.0
Uncorrected energy (Ha/atom): -0.207

Computed, not measured: Ti2Sn2Pd after structural relaxation at the GGA-PBE level of DFT.

Geometry as POSCAR:
```
Ti2Sn2Pd
1.0
6.908 0.000 0.000
0.000 6.908 0.000
0.000 0.000 4.097
Ti Sn Pd
4 4 2
Cartesian
1.085 2.370 0.000
2.370 5.824 0.000
4.539 1.085 0.000
5.824 4.539 0.000
1.010 4.464 2.048
2.444 1.010 2.048
4.464 5.898 2.048
5.898 2.444 2.048
0.000 0.000 2.048
3.454 3.454 2.048
```

Results
Formation enthalpy at 0 K (kJ per mole of atoms): -24.3
Uncorrected energy (Ha/atom): -0.222

Computed, not measured: TiSnPd2 after structural relaxation at the GGA-PBE level of DFT.

Geometry as POSCAR:
```
TiSnPd2
1.0
3.391 0.000 0.000
0.000 3.391 0.000
0.000 0.000 6.045
Ti Sn Pd
1 1 2
Cartesian
0.000 0.000 0.000
0.000 0.000 3.023
1.695 1.695 1.350
1.695 1.695 4.695
```

Results
Formation enthalpy at 0 K (kJ per mole of atoms): -52.3
Uncorrected energy (Ha/atom): -0.225

Computed, not measured: Ti3SnPd after structural relaxation at the GGA-PBE level of DFT.

Geometry as POSCAR:
```
Ti3SnPd
1.0
4.988 -2.363 0.000
4.988 2.363 0.000
-0.293 0.000 7.890
Ti Sn Pd
6 2 2
Cartesian
0.357 0.000 2.530
1.046 0.000 7.576
3.208 0.000 2.108
6.474 0.000 5.782
8.636 0.000 0.314
9.326 0.000 5.360
3.716 0.000 6.704
5.966 0.000 1.185
1.880 0.000 4.619
7.802 0.000 3.270
```

Results
Formation enthalpy at 0 K (kJ per mole of atoms): -17.3
Uncorrected energy (Ha/atom): -0.248

Computed, not measured: Ti4SnPd8 after structural relaxation at the GGA-PBE level of DFT.

Geometry as POSCAR:
```
Ti4SnPd8
1.0
6.131 0.000 0.000
0.000 6.131 0.000
0.000 0.000 6.131
Ti Sn Pd
4 1 8
Cartesian
0.000 0.000 0.000
0.000 3.066 3.066
3.066 0.000 3.066
3.066 3.066 0.000
3.066 3.066 3.066
1.477 1.477 1.477
1.477 1.477 4.654
1.477 4.654 1.477
1.477 4.654 4.654
4.654 1.477 1.477
4.654 1.477 4.654
4.654 4.654 1.477
4.654 4.654 4.654
```

Results
Formation enthalpy at 0 K (kJ per mole of atoms): -29.1
Uncorrected energy (Ha/atom): -0.229

Computed, not measured: Ti8Sn2Pd3 after structural relaxation at the GGA-PBE level of DFT.

Geometry as POSCAR:
```
Ti8Sn2Pd3
1.0
4.285 -6.977 0.000
4.285 6.977 0.000
0.000 0.000 4.239
Ti Sn Pd
8 2 3
Cartesian
4.285 5.518 0.000
2.110 1.624 2.119
2.110 -1.624 2.119
4.285 1.813 0.000
4.285 -1.813 0.000
6.459 1.624 2.119
6.459 -1.624 2.119
4.285 -5.518 0.000
4.285 3.568 2.119
4.285 -3.568 2.119
2.336 0.000 0.000
4.285 0.000 2.119
6.234 0.000 0.000
```

Results
Formation enthalpy at 0 K (kJ per mole of atoms): -6.8
Uncorrected energy (Ha/atom): -0.248

What is the formation enthalpy at 0 K in the tenth record? -17.3 kJ per mole of atoms

Look up the formation enthalpy at 0 K of the ninth one. -52.3 kJ per mole of atoms

Which of these has the lowest formation enthalpy at 0 K? TiSnPd2